[1]
PBE PrInNi, optimized geometry; SG = P-62m; calculated volume = 211 Å³ per cell; DFT total energy = -4.24 eV per atom
1.0
-0.884 8.592 -0.305
-0.217 -4.628 -7.296
-3.225 -0.321 0.300
In Ni Pr
3 3 3
Cartesian
-0.662 4.185 -2.635
-0.439 -0.221 -4.965
-1.612 -0.161 0.150
-2.152 5.085 -0.036
-2.041 1.383 -2.810
-1.745 -2.986 -4.304
-0.269 2.612 -0.093
-0.066 -1.407 -2.218
-0.766 2.759 -5.290


[2]
PBE Pr5In3Ni, optimized geometry; SG = P6_3/mcm; calculated volume = 536 Å³ per cell; DFT total energy = -4.54 eV per atom
1.0
-7.420 2.923 5.726
-0.710 -8.385 -5.056
2.557 -3.199 4.946
In Ni Pr
6 2 10
Cartesian
-3.781 0.941 4.647
-2.648 -3.008 1.507
0.216 -5.795 -1.775
-1.082 -1.218 6.025
1.631 -5.789 1.666
-2.925 -5.653 4.109
0.000 0.000 0.000
1.278 -1.600 2.473
-5.183 -0.847 2.132
-2.947 -4.616 -1.462
-1.154 -0.094 2.620
0.468 -2.826 0.015
-5.526 -4.942 1.744
-3.905 -2.446 4.605
-1.668 -6.215 1.011
-3.709 -0.183 8.052
-0.047 -3.719 3.872
1.379 -8.758 -0.125


[3]
PBE PrIn2Ni, optimized geometry; SG = Cmcm; calculated volume = 178 Å³ per cell; DFT total energy = -4.38 eV per atom
1.0
-4.462 0.147 3.780
1.409 -3.228 -4.671
3.571 -4.814 4.404
In Ni Pr
4 2 2
Cartesian
-0.480 -2.281 -1.471
0.946 -4.203 0.287
-0.428 -3.691 3.226
0.998 -5.613 4.984
-2.318 -1.775 3.080
2.836 -6.119 0.433
1.917 -4.210 -3.017
-1.399 -3.684 6.529


[4]
PBE Pr2In2Ni3Pt, optimized geometry; SG = P3m1; calculated volume = 160 Å³ per cell; DFT total energy = -5.20 eV per atom
1.0
4.512 0.000 0.000
-2.256 3.907 0.000
0.000 0.000 9.087
In Ni Pr Pt
2 3 2 1
Cartesian
0.000 2.605 0.112
0.000 2.605 4.516
2.256 1.302 0.723
2.256 1.302 3.892
0.000 0.000 5.146
0.000 0.000 2.307
2.256 1.302 6.780
0.000 0.000 8.331


[5]
PBE Pr3In3Ni2Pt, optimized geometry; SG = P-62m; calculated volume = 205 Å³ per cell; DFT total energy = -5.00 eV per atom
1.0
-3.242 -4.566 -5.191
7.099 -1.416 2.427
-1.482 -2.331 2.976
In Ni Pr Pt
3 2 3 1
Cartesian
-3.149 -4.557 -2.368
0.251 -2.703 0.777
4.533 -2.217 3.291
-0.536 -4.681 -1.163
2.911 -3.631 1.376
-1.336 -1.882 -2.139
2.926 -0.584 1.000
2.268 -3.517 -1.624
0.000 0.000 0.000


[6]
PBE PrInNiPt, optimized geometry; SG = P-6m2; calculated volume = 167 Å³ per cell; DFT total energy = -5.40 eV per atom
1.0
4.571 0.000 0.000
-2.285 3.959 0.000
0.000 0.000 9.214
In Ni Pr Pt
2 2 2 2
Cartesian
0.000 0.000 2.194
0.000 0.000 7.020
0.000 2.639 1.545
0.000 2.639 7.669
2.285 1.320 0.000
0.000 2.639 4.607
2.285 1.320 2.999
2.285 1.320 6.215


Question: What is the calculated volume in the third record?
Answer: 178 Å³ per cell